Record 1
VASP calculation (GGA-PBE) on an optimized crystal structure of CsZnB2F8.

Results
Its density of states at the Fermi level is 0.056 states/eV/atom. The value obtained for the volume is 16.9 Å³ per atom. For the uncorrected formation energy, the calculation gives -2.632 eV per atom.

abc: 5.3480 5.3480 8.7405
angles: 72.19 72.19 60.00
Fractional positions:
F: 0.1970 0.1970 0.4090
F: 0.9802 0.4773 0.8207
F: 0.2782 0.0198 0.1793
F: 0.8030 0.8030 0.5910
F: 0.0198 0.5227 0.1793
F: 0.5227 0.2782 0.1793
F: 0.7218 0.9802 0.8207
F: 0.4773 0.7218 0.8207
B: 0.7449 0.7449 0.7652
B: 0.2551 0.2551 0.2348
Zn: 0.0000 0.0000 0.0000
Cs: 0.5000 0.5000 0.5000



Record 2
VASP calculation (GGA-PBE) on an optimized crystal structure of CsZnBF6.

Results
Its density of states at the Fermi level is 0.000 states/eV/atom. The value obtained for the volume is 18.1 Å³ per atom. For the uncorrected formation energy, the calculation gives -2.680 eV per atom.

abc: 5.4732 5.4732 6.1826
angles: 92.81 87.22 61.96
Fractional positions:
F: 0.4419 0.1443 0.3557
F: 0.3240 0.6164 0.3844
F: 0.5511 0.8619 0.7707
F: 0.1445 0.4425 0.6444
F: 0.8620 0.5515 0.2293
F: 0.6168 0.3235 0.6153
Zn: 0.6888 0.6891 0.5000
B: 0.3781 0.3780 0.5000
Cs: 0.9926 0.9929 0.0000



Record 3
VASP calculation (GGA-PBE) on an optimized crystal structure of CsFeB3.

Results
The energy above the lowest structure with this stoichiometry comes out at 2.905 eV per atom. The value obtained for the formation energy is 4.01 eV/atom. Its density of states at the Fermi level is 2.453 states/eV/atom. The value obtained for the volume is 20.2 Å³ per atom.

abc: 4.6603 4.6603 4.6603
angles: 90.00 90.00 90.00
Fractional positions:
Cs: 0.0000 0.0000 0.0000
Fe: 0.5000 0.5000 0.5000
B: 0.0000 0.0000 0.5000
B: 0.5000 0.0000 0.0000
B: 0.0000 0.5000 0.0000